Entry 1:
Ti3Zn3Fe2: relaxed, PBE-GGA.

Computed properties:
Its total energy is -5.778 eV per atom. As for the formation energy: -21.6 kJ/mol of atoms. As for the density of states at the Fermi level: 0.732 states/eV/atom.

Lattice parameters (Å, degrees): 6.687 6.687 2.965 90.00 90.00 120.00
Fractional positions:
Ti1 0.000 0.573 0.000
Ti2 0.427 0.427 0.000
Ti3 0.573 0.000 0.000
Zn1 0.000 0.227 0.500
Zn2 0.227 0.000 0.500
Zn3 0.773 0.773 0.500
Fe1 0.333 0.667 0.500
Fe2 0.667 0.333 0.500

=====

Entry 2:
CuHgSe2: relaxed, PBE-GGA.

Computed properties:
Its total energy is -2.948 eV per atom. As for the density of states at the Fermi level: 0.027 states/eV/atom.

Lattice parameters (Å, degrees): 4.304 7.127 7.633 62.25 89.70 89.99
Fractional positions:
Cu1 0.000 0.000 0.000
Cu2 0.094 0.668 0.663
Hg1 0.502 0.417 0.073
Hg2 0.590 0.157 0.591
Se1 0.000 0.661 0.982
Se2 0.092 0.311 0.682
Se3 0.501 0.014 0.146
Se4 0.592 0.827 0.518

=====

Entry 3:
Tm6TePt2Se3: relaxed, PBE-GGA.

Computed properties:
Its total energy is -5.855 eV per atom. As for the density of states at the Fermi level: 0.490 states/eV/atom.

Lattice parameters (Å, degrees): 9.368 9.368 8.359 106.42 106.42 24.80
Fractional positions:
Tm1 0.018 0.018 0.275
Tm2 0.322 0.322 0.861
Tm3 0.336 0.336 0.404
Tm4 0.664 0.664 0.596
Tm5 0.678 0.678 0.139
Tm6 0.982 0.982 0.725
Te1 0.500 0.500 0.000
Pt1 0.178 0.178 0.373
Pt2 0.822 0.822 0.627
Se1 0.157 0.157 0.858
Se2 0.500 0.500 0.500
Se3 0.843 0.843 0.142

=====

Entry 4:
FeAgOs2: relaxed, PBE-GGA.

Computed properties:
Its total energy is -7.777 eV per atom. As for the formation energy: 64.2 kJ/mol of atoms. As for the density of states at the Fermi level: 1.018 states/eV/atom. The distance to the lowest polymorph of the same formula comes out at 122 kJ/mol of formula units.

Lattice parameters (Å, degrees): 4.783 4.783 4.783 132.97 132.97 68.70
Fractional positions:
Fe1 0.000 0.000 0.000
Ag1 0.500 0.500 0.000
Os1 0.250 0.750 0.500
Os2 0.750 0.250 0.500

=====

Entry 5:
ReAgSb2I: relaxed, PBE-GGA.

Computed properties:
Its total energy is -3.382 eV per atom. As for the density of states at the Fermi level: 0.691 states/eV/atom. The distance to the lowest polymorph of the same formula comes out at 423 kJ/mol of formula units.

Lattice parameters (Å, degrees): 5.358 5.358 5.508 90.00 90.00 90.00
Fractional positions:
Re1 0.000 0.000 0.000
Ag1 0.500 0.500 0.500
Sb1 0.000 0.500 0.500
Sb2 0.500 0.000 0.500
I1 0.500 0.500 0.000

=====

Entry 6:
LaTl2Cl: relaxed, PBE-GGA.

Computed properties:
Its total energy is -3.565 eV per atom. As for the density of states at the Fermi level: 0.831 states/eV/atom. The distance to the lowest polymorph of the same formula comes out at 43 kJ/mol of formula units.

Lattice parameters (Å, degrees): 3.841 4.873 6.755 90.00 106.38 90.00
Fractional positions:
La1 0.000 0.000 0.000
Tl1 0.266 0.000 0.525
Tl2 0.626 0.500 0.253
Cl1 0.892 0.500 0.778